No. 1
A relaxed Na2PuTl3O6 crystal, computed with PBE.

Results
* total DFT energy (no corrections): -6.078 eV/atom
* E_form (uncorrected): -19.11 eV/f.u.
* magnetic moment: 1.00 μB per formula unit

a b c (Å): 6.128 10.693 6.551
angles (deg): 90.00 105.63 90.00
Space group C2/m (No. 12)
Asymmetric unit:
Na  0.000  0.168  0.000 [4 per cell]
Pu  0.000  0.500  0.000 [2 per cell]
Tl  0.000  0.000  0.500 [2 per cell]
Tl  0.000  0.333  0.500 [4 per cell]
O  0.198  0.367  0.168 [8 per cell]
O  0.201  0.500  0.783 [4 per cell]



No. 2
A relaxed Na2PuTl2O6 crystal, computed with PBE.

Results
* total DFT energy (no corrections): -6.246 eV/atom
* E_form (uncorrected): -17.25 eV/f.u.
* D(E_F): 0.0307 states/eV per atom
* magnetic moment: 0.04 μB per formula unit

a b c (Å): 6.892 10.960 5.918
angles (deg): 90.00 106.80 90.00
Space group C2/m (No. 12)
Asymmetric unit:
Na  0.000  0.147  0.000 [4 per cell]
Pu  0.000  0.000  0.500 [2 per cell]
Tl  0.000  0.342  0.500 [4 per cell]
O  0.166  0.132  0.698 [8 per cell]
O  0.171  0.000  0.283 [4 per cell]



No. 3
A relaxed NaPu3Tl2O12 crystal, computed with PBE.

Results
* total DFT energy (no corrections): -8.049 eV/atom
* E_form (uncorrected): -36.34 eV/f.u.
* D(E_F): 0.4854 states/eV per atom
* magnetic moment: 2.99 μB per formula unit

a b c (Å): 8.0268 8.0268 16.9558
angles (deg): 90.00 90.00 120.00
Space group R-3m (No. 166, hexagonal axes)
Asymmetric unit:
Na  0.0000  0.0000  0.0000 [3 per cell]
Pu  0.0000  0.5000  0.5000 [9 per cell]
Tl  0.0000  0.0000  0.3857 [6 per cell]
O  0.0346  0.5173  0.3922 [18 per cell]
O  0.0816  0.5408  0.8194 [18 per cell]



No. 4
A relaxed Na2PuTlO6 crystal, computed with PBE.

Results
* total DFT energy (no corrections): -6.664 eV/atom
* E_form (uncorrected): -17.55 eV/f.u.
* magnetic moment: 1.00 μB per formula unit

a b c (Å): 5.758 5.881 10.024
angles (deg): 90.00 124.92 90.00
Space group P2_1/c (No. 14)
Asymmetric unit:
Na  0.238  0.043  0.246 [4 per cell]
Pu  0.500  0.000  0.000 [2 per cell]
Tl  0.000  0.000  0.500 [2 per cell]
O  0.163  0.186  0.952 [4 per cell]
O  0.266  0.720  0.941 [4 per cell]
O  0.367  0.041  0.766 [4 per cell]



Copy entry 2 word for word.
A relaxed Na2PuTl2O6 crystal, computed with PBE.

Results
* total DFT energy (no corrections): -6.246 eV/atom
* E_form (uncorrected): -17.25 eV/f.u.
* D(E_F): 0.0307 states/eV per atom
* magnetic moment: 0.04 μB per formula unit

a b c (Å): 6.892 10.960 5.918
angles (deg): 90.00 106.80 90.00
Space group C2/m (No. 12)
Asymmetric unit:
Na  0.000  0.147  0.000 [4 per cell]
Pu  0.000  0.000  0.500 [2 per cell]
Tl  0.000  0.342  0.500 [4 per cell]
O  0.166  0.132  0.698 [8 per cell]
O  0.171  0.000  0.283 [4 per cell]



Q: Look up the magnetic moment of the first one.
A: 1.00 μB per formula unit



Q: What is the magnetic moment in the third record?
A: 2.99 μB per formula unit